# Fe2Pt2F | the Alexandria database | meta-GGA SCAN | PBEsol geometry
data_Fe2Pt2F
_chemical_formula_sum 'Fe2 Pt2 F1'
_cell_length_a 6.512
_cell_length_b 6.512
_cell_length_c 6.512
_cell_angle_alpha 147.37
_cell_angle_beta 147.37
_cell_angle_gamma 46.82
_symmetry_space_group_name_H-M 'P 1'
_symmetry_Int_Tables_number 1
_symmetry_space_group_name_Hall 'P 1'
loop_
_atom_site_label
_atom_site_type_symbol
_atom_site_fract_x
_atom_site_fract_y
_atom_site_fract_z
Fe1 Fe 0.103 0.103 0.000
Fe2 Fe 0.897 0.897 0.000
Pt1 Pt 0.250 0.750 0.500
Pt2 Pt 0.750 0.250 0.500
F1 F 0.500 0.500 0.000
# Space-group type: No. 139
# DFT total energy: -36.1590 eV per atom
# Volume: 16.004 Å³/atom
# Formation energy from raw total energies: -0.12 eV per atom
# Magnetic moment: 7.82 μB per formula unit
# Density of states at the Fermi level: 3.998 states/eV/f.u.